(1)
# ZrSc2Ag | Alexandria via LeMat-Bulk | meta-GGA SCAN | single point on PBEsol structure
# DOS at the Fermi energy = 3.77 states/eV/cell
# E = -90.86 eV/f.u.
# M_tot = 0.22 Bohr magnetons per cell
data_ZrSc2Ag
_chemical_formula_sum 'Zr1 Sc2 Ag1'
_space_group_name_H-M_alt 'P 1'
_space_group_IT_number 1
_cell_length_a 3.166
_cell_length_b 3.166
_cell_length_c 8.433
_cell_angle_alpha 90.00
_cell_angle_beta 90.00
_cell_angle_gamma 90.00
loop_
_space_group_symop_operation_xyz
'x,y,z'
loop_
_atom_site_label
_atom_site_type_symbol
_atom_site_fract_x
_atom_site_fract_y
_atom_site_fract_z
Sc1 Sc 0.000 0.000 0.975
Sc2 Sc 0.500 0.500 0.260
Ag1 Ag 0.500 0.500 0.752
Zr1 Zr 0.000 0.000 0.513



(2)
# ZrSc2Ag | Alexandria via LeMat-Bulk | meta-GGA SCAN | single point on PBEsol structure
# DOS at the Fermi energy = 3.76 states/eV/cell
# E = -91.19 eV/f.u.
# M_tot = 0.00 Bohr magnetons per cell
data_ZrSc2Ag
_chemical_formula_sum 'Zr1 Sc2 Ag1'
_space_group_name_H-M_alt 'P 1'
_space_group_IT_number 1
_cell_length_a 3.197
_cell_length_b 3.197
_cell_length_c 8.153
_cell_angle_alpha 90.00
_cell_angle_beta 90.00
_cell_angle_gamma 90.00
loop_
_space_group_symop_operation_xyz
'x,y,z'
loop_
_atom_site_label
_atom_site_type_symbol
_atom_site_fract_x
_atom_site_fract_y
_atom_site_fract_z
Sc1 Sc 0.000 0.000 0.732
Sc2 Sc 0.000 0.000 0.268
Ag1 Ag 0.500 0.500 0.500
Zr1 Zr 0.500 0.500 0.000